(1)
Below is a geometry-optimized CaLa3Ir structure, with properties calculated at the PBE level.

```
CaLa3Ir
1.0
5.057 -7.192 0.000
5.057 7.192 0.000
0.000 0.000 5.299
Ca La Ir
2 6 2
Direct
0.243 0.757 0.750
0.757 0.243 0.250
0.000 0.000 0.000
0.000 0.000 0.500
0.235 0.426 0.250
0.426 0.235 0.750
0.574 0.765 0.250
0.765 0.574 0.750
0.439 0.561 0.750
0.561 0.439 0.250
```

Energy of formation from the pure elements, eV per atom: 0.08
Energy above the lowest structure with this stoichiometry, meV per atom: 435
Total DFT energy (no corrections), eV/atom: -5.0440


(2)
Below is a geometry-optimized PrSm2Hg3 structure, with properties calculated at the PBE level.

```
PrSm2Hg3
1.0
3.819 0.000 0.000
0.000 3.819 0.000
0.000 0.000 11.459
Pr Sm Hg
1 2 3
Direct
0.000 0.000 0.000
0.000 0.000 0.335
0.000 0.000 0.665
0.500 0.500 0.174
0.500 0.500 0.500
0.500 0.500 0.826
```

Energy of formation from the pure elements, eV per atom: -0.47
Total DFT energy (no corrections), eV/atom: -2.9928


(3)
Below is a geometry-optimized As4PPb structure, with properties calculated at the PBE level.

```
As4PPb
1.0
0.000 4.050 4.050
4.050 0.000 4.050
4.050 4.050 0.000
As P Pb
4 1 1
Direct
0.115 0.115 0.115
0.115 0.115 0.655
0.115 0.655 0.115
0.655 0.115 0.115
0.750 0.750 0.750
0.500 0.500 0.500
```

Energy of formation from the pure elements, eV per atom: 0.54
Total DFT energy (no corrections), eV/atom: -4.0758


(4)
Below is a geometry-optimized BiHCl3 structure, with properties calculated at the PBE level.

```
BiHCl3
1.0
6.458 -2.403 0.000
6.458 2.403 0.000
-1.485 0.000 9.866
Bi H Cl
2 2 6
Direct
0.089 0.089 0.409
0.911 0.911 0.591
0.082 0.370 0.007
0.630 0.918 0.993
0.207 0.107 0.023
0.222 0.217 0.631
0.499 0.501 0.312
0.499 0.501 0.688
0.783 0.778 0.369
0.893 0.793 0.977
```

Energy above the lowest structure with this stoichiometry, meV per atom: 0
Total DFT energy (no corrections), eV/atom: -3.2137


(5)
Below is a geometry-optimized Cs2NbPbF6 structure, with properties calculated at the PBE level.

```
Cs2NbPbF6
1.0
0.000 4.701 4.701
4.701 0.000 4.701
4.701 4.701 0.000
Cs Nb Pb F
2 1 1 6
Direct
0.250 0.250 0.250
0.750 0.750 0.750
0.000 0.000 0.000
0.500 0.500 0.500
0.238 0.238 0.762
0.238 0.762 0.238
0.238 0.762 0.762
0.762 0.238 0.238
0.762 0.238 0.762
0.762 0.762 0.238
```

Formation energy without anion corrections, eV/atom: -2.40
Total DFT energy (no corrections), eV/atom: -5.0711


(6)
Below is a geometry-optimized BeZnAg2 structure, with properties calculated at the PBE level.

```
BeZnAg2
1.0
-1.884 1.884 4.173
1.884 -1.884 4.173
1.884 1.884 -4.173
Be Zn Ag
1 1 2
Direct
0.000 0.000 0.000
0.250 0.750 0.500
0.500 0.500 0.000
0.750 0.250 0.500
```

Energy of formation from the pure elements, eV per atom: 0.15
Energy above the lowest structure with this stoichiometry, meV per atom: 73
Total DFT energy (no corrections), eV/atom: -2.5306


(7)
Below is a geometry-optimized TaV4B2 structure, with properties calculated at the PBE level.

```
TaV4B2
1.0
1.707 -7.186 0.000
1.707 7.186 0.000
0.000 0.000 3.323
Ta V B
1 4 2
Direct
0.000 0.000 0.000
0.168 0.832 0.500
0.330 0.670 0.000
0.670 0.330 0.000
0.832 0.168 0.500
0.440 0.560 0.500
0.560 0.440 0.500
```

Energy of formation from the pure elements, eV per atom: -0.39
Total DFT energy (no corrections), eV/atom: -9.2009


(8)
Below is a geometry-optimized Rb2BiO3 structure, with properties calculated at the PBE level.

```
Rb2BiO3
1.0
5.666 -3.766 0.000
5.666 3.766 0.000
-1.261 0.000 6.597
Rb Bi O
4 2 6
Direct
0.058 0.265 0.155
0.265 0.058 0.655
0.735 0.942 0.345
0.942 0.735 0.845
0.427 0.573 0.250
0.573 0.427 0.750
0.152 0.848 0.250
0.357 0.388 0.954
0.388 0.357 0.454
0.612 0.643 0.546
0.643 0.612 0.046
0.848 0.152 0.750
```

Formation energy without anion corrections, eV/atom: -1.24
Energy above the lowest structure with this stoichiometry, meV per atom: 5
Total DFT energy (no corrections), eV/atom: -4.6849


Magnetic moment (μB/cell)
0.00 1.20 0.00 0.00 3.00 0.00 0.00 0.00